Version 1
This record from OQMD via LeMat-Bulk describes crystalline YTmGa2Pt4 at its relaxed geometry. The functional is PBE.

Cell lengths 4.6813, 4.6813, 6.6420 Å; angles 90.00, 90.00, 90.00 degrees
Element x y z (fractional)
Y 0.0000 0.0000 0.0000
Tm 0.5000 0.5000 0.5000
Ga 0.0000 0.0000 0.5000
Ga 0.5000 0.5000 0.0000
Pt 0.0000 0.5000 0.2547
Pt 0.0000 0.5000 0.7453
Pt 0.5000 0.0000 0.2547
Pt 0.5000 0.0000 0.7453

Output
V   18.2 Å³/atom
SG   P4/mmm

=====

Version 2
This record from OQMD via LeMat-Bulk describes crystalline YTmGa2Pt4 at its relaxed geometry. The functional is PBE.

Cell lengths 4.3765, 4.3765, 9.0803 Å; angles 90.00, 90.00, 120.00 degrees
Element x y z (fractional)
Y 0.0000 0.0000 0.0000
Tm 0.3333 0.6667 0.5000
Ga 0.6667 0.3333 0.2506
Ga 0.6667 0.3333 0.7494
Pt 0.0000 0.0000 0.3389
Pt 0.0000 0.0000 0.6611
Pt 0.3333 0.6667 0.1675
Pt 0.3333 0.6667 0.8325

Output
V   18.8 Å³/atom
SG   P-6m2

=====

Each structure's energy above the most stable one, in eV/atom: version 1 0.166; version 2 0.000.

=====

Version 1
This record from OQMD via LeMat-Bulk describes crystalline PuTlGa at its relaxed geometry. The functional is PBE.

Cell lengths 4.8191, 4.8191, 4.8191 Å; angles 60.00, 60.00, 60.00 degrees
Element x y z (fractional)
Pu 0.0000 0.0000 0.0000
Tl 0.5000 0.5000 0.5000
Ga 0.2500 0.2500 0.2500

Output
V   26.4 Å³/atom
SG   F-43m

=====

Version 2
This record from OQMD via LeMat-Bulk describes crystalline PuTlGa at its relaxed geometry. The functional is PBE.

Cell lengths 4.9879, 4.9879, 4.9879 Å; angles 60.00, 60.00, 60.00 degrees
Element x y z (fractional)
Pu 0.0000 0.0000 0.0000
Tl 0.7500 0.7500 0.7500
Ga 0.2500 0.2500 0.2500

Output
V   29.2 Å³/atom
SG   F-43m

=====

Each structure's energy above the most stable one, in eV/atom: version 1 0.000; version 2 0.300.

=====

Version 1
This record from OQMD via LeMat-Bulk describes crystalline PuGaW at its relaxed geometry. The functional is PBE.

Cell lengths 4.4912, 4.4912, 4.4912 Å; angles 60.00, 60.00, 60.00 degrees
Element x y z (fractional)
Pu 0.0000 0.0000 0.0000
Ga 0.7500 0.7500 0.7500
W 0.2500 0.2500 0.2500

Output
V   21.4 Å³/atom
SG   F-43m

=====

Version 2
This record from OQMD via LeMat-Bulk describes crystalline PuGaW at its relaxed geometry. The functional is PBE.

Cell lengths 4.4734, 4.4734, 4.4734 Å; angles 60.00, 60.00, 60.00 degrees
Element x y z (fractional)
Pu 0.0000 0.0000 0.0000
Ga 0.5000 0.5000 0.5000
W 0.2500 0.2500 0.2500

Output
V   21.1 Å³/atom
SG   F-43m

=====

Each structure's energy above the most stable one, in eV/atom: version 1 0.655; version 2 0.000.

=====

Version 1
This record from OQMD via LeMat-Bulk describes crystalline RbTaGa at its relaxed geometry. The functional is PBE.

Cell lengths 5.3752, 5.3752, 5.3752 Å; angles 60.00, 60.00, 60.00 degrees
Element x y z (fractional)
Rb 0.0000 0.0000 0.0000
Ta 0.2500 0.2500 0.2500
Ga 0.7500 0.7500 0.7500

Output
V   36.6 Å³/atom
SG   F-43m

=====

Version 2
This record from OQMD via LeMat-Bulk describes crystalline RbTaGa at its relaxed geometry. The functional is PBE.

Cell lengths 4.9861, 4.9861, 4.9861 Å; angles 60.00, 60.00, 60.00 degrees
Element x y z (fractional)
Rb 0.0000 0.0000 0.0000
Ta 0.5000 0.5000 0.5000
Ga 0.2500 0.2500 0.2500

Output
V   29.2 Å³/atom
SG   F-43m

=====

Each structure's energy above the most stable one, in eV/atom: version 1 0.719; version 2 0.000.

=====

Version 1
This record from OQMD via LeMat-Bulk describes crystalline RbGaW at its relaxed geometry. The functional is PBE.

Cell lengths 5.3972, 5.3972, 5.3972 Å; angles 60.00, 60.00, 60.00 degrees
Element x y z (fractional)
Rb 0.0000 0.0000 0.0000
Ga 0.7500 0.7500 0.7500
W 0.2500 0.2500 0.2500

Output
V   37.1 Å³/atom
SG   F-43m

=====

Version 2
This record from OQMD via LeMat-Bulk describes crystalline RbGaW at its relaxed geometry. The functional is PBE.

Cell lengths 4.9828, 4.9828, 4.9828 Å; angles 60.00, 60.00, 60.00 degrees
Element x y z (fractional)
Rb 0.0000 0.0000 0.0000
Ga 0.2500 0.2500 0.2500
W 0.5000 0.5000 0.5000

Output
V   29.2 Å³/atom
SG   F-43m

=====

Each structure's energy above the most stable one, in eV/atom: version 1 0.605; version 2 0.000.

=====

Version 1
This record from OQMD via LeMat-Bulk describes crystalline GaReSi at its relaxed geometry. The functional is PBE.

Cell lengths 4.0687, 4.0687, 4.0687 Å; angles 60.00, 60.00, 60.00 degrees
Element x y z (fractional)
Ga 0.0000 0.0000 0.0000
Re 0.5000 0.5000 0.5000
Si 0.2500 0.2500 0.2500

Output
V   15.9 Å³/atom
SG   F-43m

=====

Version 2
This record from OQMD via LeMat-Bulk describes crystalline GaReSi at its relaxed geometry. The functional is PBE.

Cell lengths 3.2089, 3.2089, 8.0924 Å; angles 90.00, 90.00, 90.00 degrees
Element x y z (fractional)
Ga 0.2500 0.2500 0.0855
Ga 0.7500 0.7500 0.9145
Re 0.2500 0.2500 0.7294
Re 0.7500 0.7500 0.2706
Si 0.2500 0.2500 0.4153
Si 0.7500 0.7500 0.5847

Output
V   13.9 Å³/atom
SG   P4/nmm

=====

Each structure's energy above the most stable one, in eV/atom: version 1 0.603; version 2 0.000.

=====

Version 1
This record from OQMD via LeMat-Bulk describes crystalline GaReSi at its relaxed geometry. The functional is PBE.

Cell lengths 6.4421, 3.2224, 8.0069 Å; angles 90.00, 90.00, 90.00 degrees
Element x y z (fractional)
Ga 0.1261 0.2500 0.0790
Ga 0.3739 0.7500 0.5790
Ga 0.6261 0.2500 0.4210
Ga 0.8739 0.7500 0.9210
Re 0.1240 0.2500 0.7421
Re 0.3760 0.7500 0.2421
Re 0.6240 0.2500 0.7579
Re 0.8760 0.7500 0.2579
Si 0.1234 0.2500 0.4091
Si 0.3766 0.7500 0.9091
Si 0.6234 0.2500 0.0909
Si 0.8766 0.7500 0.5909

Output
V   13.9 Å³/atom
SG   Pnma

=====

Version 2
This record from OQMD via LeMat-Bulk describes crystalline GaReSi at its relaxed geometry. The functional is PBE.

Cell lengths 4.1514, 4.1514, 4.1514 Å; angles 60.00, 60.00, 60.00 degrees
Element x y z (fractional)
Ga 0.0000 0.0000 0.0000
Re 0.2500 0.2500 0.2500
Si 0.5000 0.5000 0.5000

Output
V   16.9 Å³/atom
SG   F-43m

=====

Each structure's energy above the most stable one, in eV/atom: version 1 0.000; version 2 0.533.

=====

Version 1
This record from OQMD via LeMat-Bulk describes crystalline SrGaRe at its relaxed geometry. The functional is PBE.

Cell lengths 4.9934, 4.9934, 4.9934 Å; angles 60.00, 60.00, 60.00 degrees
Element x y z (fractional)
Sr 0.0000 0.0000 0.0000
Ga 0.7500 0.7500 0.7500
Re 0.2500 0.2500 0.2500

Output
V   29.3 Å³/atom
SG   F-43m

=====

Version 2
This record from OQMD via LeMat-Bulk describes crystalline SrGaRe at its relaxed geometry. The functional is PBE.

Cell lengths 4.6697, 4.6697, 4.6697 Å; angles 60.00, 60.00, 60.00 degrees
Element x y z (fractional)
Sr 0.0000 0.0000 0.0000
Ga 0.7500 0.7500 0.7500
Re 0.5000 0.5000 0.5000

Output
V   24.0 Å³/atom
SG   F-43m

=====

Each structure's energy above the most stable one, in eV/atom: version 1 0.752; version 2 0.000.